A relaxed structure of AgPb3. Source: the Alexandria database, functional PBE-GGA.

Calculated values
Calculated total energy ... -13.7 eV for the cell shown
Magnetic moment ... 0.0 μB/f.u.
Space-group type ... P-6m2 (187)
DOS(E_F) ... 1.06 states/eV per cell
Formation enthalpy at 0 K ... 0.29 eV per formula unit

Lattice parameters (Å, degrees): 3.494 3.494 10.693 90.00 90.00 120.00
Fractional positions:
1 Pb 0.667 0.333 0.780
2 Pb 0.667 0.333 0.220
3 Pb 0.000 0.000 0.500
4 Ag 0.000 0.000 0.000